Material: Pa2NbBi
Method: DFT, PBE
State: relaxed

Geometry as POSCAR:
```
Pa2NbBi
1.0
4.731 0.000 0.000
0.000 4.472 0.000
0.000 0.000 4.472
Pa Bi Nb
2 1 1
Direct
0.000 0.500 0.000 Pa
0.000 0.000 0.500 Pa
0.500 0.500 0.500 Bi
0.500 0.000 0.000 Nb
```

Properties
- energy relative to the elements (eV/atom) = 0.041
- energy (eV per atom) = -8.195
- energy relative to the lowest polymorph listed for this composition (kcal/mol of atoms) = 0.00